No. 1
# Ca3BiAu2

Crystalline Ca3BiAu2 at its relaxed geometry (PBE, the Alexandria database).

a b c (Å): 3.753 3.753 11.235
angles (deg): 90.00 90.00 90.00
Space group P4/mmm (No. 123)
One atom of each set of equivalent atoms:
Ca  0.000  0.000  0.000 [1 per cell]
Ca  0.000  0.000  0.313 [2 per cell]
Bi  0.500  0.500  0.500 [1 per cell]
Au  0.500  0.500  0.157 [2 per cell]

VASP energy	-3.51	eV per atom
E above lowest polymorph	35	meV per atom
ΔH_f (0 K)	-0.77	eV/atom

No. 2
# CaBi3Au3

Crystalline CaBi3Au3 at its relaxed geometry (PBE, the Alexandria database).

a b c (Å): 7.856 7.856 7.856
angles (deg): 90.00 90.00 90.00
Space group Pm-3n (No. 223)
One atom of each set of equivalent atoms:
Ca  0.000  0.000  0.000 [2 per cell]
Bi  0.000  0.250  0.500 [6 per cell]
Au  0.000  0.500  0.250 [6 per cell]

VASP energy	-3.31	eV per atom
E above lowest polymorph	290	meV per atom
ΔH_f (0 K)	0.04	eV/atom

No. 3
# CaBi3Au3

Crystalline CaBi3Au3 at its relaxed geometry (PBE, the Alexandria database).

a b c (Å): 7.7880 7.7880 21.0105
angles (deg): 90.00 90.00 120.00
Space group R-3m (No. 166, hexagonal axes)
One atom of each set of equivalent atoms:
Ca  0.0000  0.0000  0.0841 [6 per cell]
Bi  0.0284  0.5142  0.8906 [18 per cell]
Au  0.0754  0.5377  0.3238 [18 per cell]

VASP energy	-3.60	eV per atom
E above lowest polymorph	0	meV per atom
ΔH_f (0 K)	-0.25	eV/atom

No. 4
# Ca2BiAu9

Crystalline Ca2BiAu9 at its relaxed geometry (PBE, the Alexandria database).

a b c (Å): 5.6716 5.6716 18.4450
angles (deg): 90.00 90.00 120.00
Space group P6_3/mmc (No. 194)
One atom of each set of equivalent atoms:
Ca  0.3333  0.6667  0.0465 [4 per cell]
Bi  0.3333  0.6667  0.2500 [2 per cell]
Au  0.0000  0.0000  0.0000 [2 per cell]
Au  0.0000  0.0000  0.2500 [2 per cell]
Au  0.1694  0.3388  0.6215 [12 per cell]
Au  0.3333  0.6667  0.7500 [2 per cell]

VASP energy	-3.48	eV per atom
E above lowest polymorph	0	meV per atom
ΔH_f (0 K)	-0.37	eV/atom

No. 5
# Ca4Bi3Au

Crystalline Ca4Bi3Au at its relaxed geometry (PBE, the Alexandria database).

a b c (Å): 10.657 8.336 5.337
angles (deg): 90.00 90.00 90.00
Space group Pmma (No. 51)
One atom of each set of equivalent atoms:
Ca  0.000  0.234  0.000 [4 per cell]
Ca  0.250  0.233  0.492 [4 per cell]
Bi  0.000  0.500  0.500 [2 per cell]
Bi  0.250  0.000  0.995 [2 per cell]
Bi  0.250  0.500  0.971 [2 per cell]
Au  0.000  0.000  0.500 [2 per cell]

VASP energy	-3.62	eV per atom
ΔH_f (0 K)	-0.75	eV/atom

No. 6
# Ca3Bi3Au2

Crystalline Ca3Bi3Au2 at its relaxed geometry (PBE, the Alexandria database).

a b c (Å): 4.635 11.943 16.545
angles (deg): 90.00 90.00 90.00
Space group Cmcm (No. 63)
One atom of each set of equivalent atoms:
Ca  0.000  0.074  0.106 [8 per cell]
Ca  0.000  0.322  0.250 [4 per cell]
Bi  0.000  0.370  0.048 [8 per cell]
Bi  0.000  0.398  0.750 [4 per cell]
Au  0.000  0.239  0.617 [8 per cell]

VASP energy	-3.68	eV per atom
ΔH_f (0 K)	-0.65	eV/atom

No. 7
# Ca3BiAu4

Crystalline Ca3BiAu4 at its relaxed geometry (PBE, the Alexandria database).

a b c (Å): 4.059 7.277 14.641
angles (deg): 90.00 90.00 90.00
Space group Immm (No. 71)
One atom of each set of equivalent atoms:
Ca  0.000  0.000  0.000 [2 per cell]
Ca  0.000  0.500  0.181 [4 per cell]
Bi  0.000  0.000  0.500 [2 per cell]
Au  0.000  0.310  0.366 [8 per cell]

VASP energy	-3.47	eV per atom
E above lowest polymorph	110	meV per atom
ΔH_f (0 K)	-0.59	eV/atom

No. 8
# Ca3BiAu

Crystalline Ca3BiAu at its relaxed geometry (PBE, the Alexandria database).

a b c (Å): 5.618 5.618 5.618
angles (deg): 90.00 90.00 90.00
Space group Pm-3m (No. 221)
One atom of each set of equivalent atoms:
Ca  0.000  0.000  0.500 [3 per cell]
Bi  0.500  0.500  0.500 [1 per cell]
Au  0.000  0.000  0.000 [1 per cell]

VASP energy	-3.12	eV per atom
E above lowest polymorph	145	meV per atom
ΔH_f (0 K)	-0.49	eV/atom

Number 1: D(E_F) 2.370 states/eV per cell. Number 2: D(E_F) 8.103 states/eV per cell. Number 3: D(E_F) 21.023 states/eV per cell. Number 4: D(E_F) 7.755 states/eV per cell. Number 5: D(E_F) 6.142 states/eV per cell. Number 6: D(E_F) 13.093 states/eV per cell. Number 7: D(E_F) 9.681 states/eV per cell. Number 8: D(E_F) 5.568 states/eV per cell.